LiCo2CS: relaxed, GGA-PBE.

## Properties
Magnetization (Bohr magnetons per cell): 1.89
Formation energy without anion corrections (meV per atom): 360
Symmetry: P4/mmm, No. 123
Uncorrected energy (eV per atom): -5.54

abc: 3.656 4.791 3.656
angles: 90.00 90.00 90.00
Each line ends with the local moment (μB).
Sites, in units of the cell vectors:
Co (0.500, 0.000, 0.000)  0.98
Co (0.000, 0.000, 0.500)  0.91
S (0.000, 0.500, 0.000)  0.09
C (0.000, 0.000, 0.000)  -0.07
Li (0.500, 0.500, 0.500)  -0.01

LiScCo2C: relaxed, GGA-PBE.

## Properties
Magnetization (Bohr magnetons per cell): 0.00
E_form (eV per formula unit): -0.63
Symmetry: P4/mmm, No. 123
Uncorrected energy (eV per atom): -6.46

abc: 3.768 3.768 4.039
angles: 90.00 90.00 90.00
Sites, in units of the cell vectors:
Co (0.000, 0.500, 0.000)
Co (0.500, 0.000, 0.000)
Li (0.000, 0.000, 0.500)
C (0.000, 0.000, 0.000)
Sc (0.500, 0.500, 0.500)

> magnetization of number 2 (LiScCo2C)?

0.00 Bohr magnetons per cell

> Look up the magnetization of the second one.

0.00 Bohr magnetons per cell

Copy entry 1 word for word.
LiCo2CS: relaxed, GGA-PBE.

## Properties
Magnetization (Bohr magnetons per cell): 1.89
Formation energy without anion corrections (meV per atom): 360
Symmetry: P4/mmm, No. 123
Uncorrected energy (eV per atom): -5.54

abc: 3.656 4.791 3.656
angles: 90.00 90.00 90.00
Each line ends with the local moment (μB).
Sites, in units of the cell vectors:
Co (0.500, 0.000, 0.000)  0.98
Co (0.000, 0.000, 0.500)  0.91
S (0.000, 0.500, 0.000)  0.09
C (0.000, 0.000, 0.000)  -0.07
Li (0.500, 0.500, 0.500)  -0.01

> The lowest uncorrected energy belongs to which entry?

LiScCo2C